Arrangement a

VASP calculation (PBE-GGA) on crystalline Li2CdAg2 at its relaxed geometry.

Properties
Fermi-level density of states, states/eV/cell: 1.5
Calculated volume, Å³/atom: 19.22
Symmetry: I4/mmm

Cell: 3.856 3.856 7.016 Å, 74.05 74.05 90.00°
Fractional coordinates of all 5 atoms:
Ag 0.605 0.605 0.789
Li 0.250 0.750 0.500
Li 0.750 0.250 0.500
Cd 0.000 0.000 0.000
Ag 0.395 0.395 0.211

=====

Arrangement b

VASP calculation (PBE-GGA) on crystalline Li2CdAg2 at its relaxed geometry.

Properties
Fermi-level density of states, states/eV/cell: 2.3
Calculated volume, Å³/atom: 17.08
Symmetry: C2/m

Cell: 4.607 4.582 11.752 Å, 53.63 78.70 59.81°
Fractional coordinates of all 10 atoms:
Cd 0.250 0.750 0.250
Li 0.953 0.238 0.357
Li 0.047 0.762 0.643
Ag 0.354 0.230 0.562
Ag 0.854 0.730 0.062
Li 0.547 0.262 0.143
Li 0.453 0.738 0.857
Ag 0.146 0.270 0.938
Cd 0.750 0.250 0.750
Ag 0.646 0.770 0.438

=====

arrangement b is the most stable structure; the next one sits 200 meV per atom above it.

=====

Arrangement a

VASP calculation (PBE-GGA) on crystalline Li3Cd4Ag4 at its relaxed geometry.

Properties
Fermi-level density of states, states/eV/cell: 4.1
Calculated volume, Å³/atom: 18.26
Symmetry: P-1

Cell: 2.920 4.678 15.011 Å, 99.27 83.33 89.37°
Fractional coordinates of all 11 atoms:
Cd 0.057 0.180 0.360
Ag 0.620 0.089 0.180
Ag 0.611 0.276 0.551
Li 0.258 0.364 0.728
Li 0.742 0.636 0.272
Li 0.999 0.000 0.000
Ag 0.391 0.724 0.449
Ag 0.379 0.911 0.820
Cd 0.944 0.820 0.640
Cd 0.752 0.453 0.904
Cd 0.247 0.547 0.095

=====

Arrangement b

VASP calculation (PBE-GGA) on crystalline Li3Cd4Ag4 at its relaxed geometry.

Properties
Fermi-level density of states, states/eV/cell: 3.0
Calculated volume, Å³/atom: 20.19
Symmetry: Immm

Cell: 3.086 9.177 9.217 Å, 119.85 99.64 90.00°
Fractional coordinates of all 11 atoms:
Li 0.870 0.870 0.740
Cd 0.500 0.173 0.000
Ag 0.330 0.075 0.659
Cd 0.204 0.704 0.407
Li 0.000 0.500 0.000
Cd 0.500 0.827 0.000
Ag 0.670 0.925 0.341
Ag 0.330 0.584 0.659
Cd 0.796 0.296 0.593
Li 0.130 0.130 0.260
Ag 0.670 0.416 0.341

=====

arrangement a is the most stable structure; the next one sits 77 meV per atom above it.

=====

Arrangement a

VASP calculation (PBE-GGA) on crystalline Li8Cd3Ag2 at its relaxed geometry.

Properties
Fermi-level density of states, states/eV/cell: 5.8
Calculated volume, Å³/atom: 18.38
Symmetry: R-3m

Cell: 5.233 5.233 10.521 Å, 75.60 75.60 60.00°
Fractional coordinates of all 13 atoms:
Cd 0.816 0.816 0.553
Li 0.773 0.270 0.687
Li 0.730 0.227 0.313
Cd 0.000 0.000 0.000
Cd 0.184 0.184 0.447
Li 0.730 0.730 0.313
Li 0.227 0.730 0.313
Li 0.270 0.773 0.687
Li 0.280 0.280 0.159
Li 0.270 0.270 0.687
Ag 0.365 0.365 0.904
Li 0.720 0.720 0.841
Ag 0.635 0.635 0.096

=====

Arrangement b

VASP calculation (PBE-GGA) on crystalline Li8Cd3Ag2 at its relaxed geometry.

Properties
Fermi-level density of states, states/eV/cell: 4.9
Calculated volume, Å³/atom: 17.87
Symmetry: C2/m

Cell: 4.921 7.164 7.164 Å, 83.33 73.60 73.60°
Fractional coordinates of all 13 atoms:
Li 0.229 0.570 0.570
Li 0.343 0.413 0.925
Li 0.097 0.849 0.849
Cd 0.000 0.745 0.255
Cd 0.500 0.000 0.000
Li 0.343 0.925 0.413
Ag 0.338 0.305 0.305
Ag 0.662 0.695 0.695
Li 0.903 0.151 0.151
Li 0.657 0.587 0.075
Li 0.771 0.430 0.430
Li 0.657 0.075 0.587
Cd 0.000 0.255 0.745

=====

arrangement b is the most stable structure; the next one sits 102 meV per atom above it.

=====

Arrangement a

VASP calculation (PBE-GGA) on crystalline Li4Cd2Ag at its relaxed geometry.

Properties
Fermi-level density of states, states/eV/cell: 4.1
Calculated volume, Å³/atom: 18.38
Symmetry: Cmce

Cell: 9.313 5.459 5.750 Å, 118.34 90.00 90.00°
Fractional coordinates of all 14 atoms:
Li 0.750 0.502 0.500
Ag 0.000 0.000 0.000
Li 0.749 0.246 0.000
Cd 0.500 0.849 0.699
Cd 0.500 0.151 0.301
Li 0.751 0.746 0.000
Li 0.250 0.998 0.500
Li 0.251 0.754 0.000
Cd 0.000 0.651 0.301
Cd 0.000 0.349 0.699
Li 0.250 0.498 0.500
Ag 0.500 0.500 0.000
Li 0.750 0.002 0.500
Li 0.249 0.254 0.000

=====

Arrangement b

VASP calculation (PBE-GGA) on crystalline Li4Cd2Ag at its relaxed geometry.

Properties
Fermi-level density of states, states/eV/cell: 4.2
Calculated volume, Å³/atom: 18.73
Symmetry: I-42d

Cell: 6.984 6.984 6.984 Å, 109.28 109.86 109.28°
Fractional coordinates of all 14 atoms:
Li 0.108 0.897 0.363
Li 0.283 0.245 0.887
Li 0.962 0.603 0.717
Ag 0.000 0.000 0.000
Cd 0.490 0.365 0.625
Li 0.467 0.103 0.212
Li 0.113 0.397 0.358
Cd 0.260 0.635 0.125
Li 0.788 0.255 0.892
Li 0.637 0.745 0.533
Cd 0.875 0.135 0.510
Cd 0.375 0.865 0.740
Li 0.642 0.755 0.038
Ag 0.750 0.500 0.250

=====

arrangement b is the most stable structure; the next one sits 61 meV per atom above it.

=====

Arrangement a

VASP calculation (PBE-GGA) on crystalline Li7Cd2Ag at its relaxed geometry.

Properties
Fermi-level density of states, states/eV/cell: 3.9
Calculated volume, Å³/atom: 18.32
Symmetry: P3m1

Cell: 4.595 4.595 10.018 Å, 90.00 90.00 120.00°
Fractional coordinates of all 10 atoms:
Li 0.333 0.667 0.143
Ag 0.000 0.000 0.060
Li 0.667 0.333 0.931
Li 0.000 0.000 0.757
Li 0.667 0.333 0.546
Cd 0.667 0.333 0.235
Li 0.000 0.000 0.373
Cd 0.333 0.667 0.646
Li 0.333 0.667 0.386
Li 0.333 0.667 0.907

=====

Arrangement b

VASP calculation (PBE-GGA) on crystalline Li7Cd2Ag at its relaxed geometry.

Properties
Fermi-level density of states, states/eV/cell: 6.1
Calculated volume, Å³/atom: 22.25
Symmetry: Fm-3m

Cell: 6.802 6.802 6.802 Å, 60.00 60.00 60.00°
Fractional coordinates of all 10 atoms:
Cd 0.250 0.250 0.250
Li 0.749 0.251 0.749
Li 0.749 0.749 0.251
Li 0.251 0.749 0.749
Li 0.749 0.251 0.251
Li 0.251 0.251 0.749
Ag 0.000 0.000 0.000
Cd 0.750 0.750 0.750
Li 0.251 0.749 0.251
Li 0.500 0.500 0.500

=====

arrangement a is the most stable structure; the next one sits 274 meV per atom above it.

=====

Arrangement a

VASP calculation (PBE-GGA) on crystalline Li12CdAg6 at its relaxed geometry.

Properties
Fermi-level density of states, states/eV/cell: 6.8
Calculated volume, Å³/atom: 18.08
Symmetry: R-3

Cell: 7.004 7.004 7.004 Å, 90.32 90.32 90.32°
Fractional coordinates of all 19 atoms:
Cd 0.000 0.000 0.000
Ag 0.119 0.718 0.273
Li 0.526 0.428 0.805
Li 0.972 0.845 0.620
Li 0.428 0.805 0.526
Li 0.155 0.380 0.028
Li 0.380 0.028 0.155
Li 0.195 0.474 0.572
Ag 0.881 0.282 0.727
Li 0.572 0.195 0.474
Ag 0.282 0.727 0.881
Li 0.845 0.620 0.972
Ag 0.727 0.881 0.282
Li 0.028 0.155 0.380
Ag 0.718 0.273 0.119
Li 0.474 0.572 0.195
Li 0.805 0.526 0.428
Ag 0.273 0.119 0.718
Li 0.620 0.972 0.845

=====

Arrangement b

VASP calculation (PBE-GGA) on crystalline Li12CdAg6 at its relaxed geometry.

Properties
Fermi-level density of states, states/eV/cell: 6.4
Calculated volume, Å³/atom: 16.81
Symmetry: R-3

Cell: 7.064 7.601 7.601 Å, 69.14 71.95 108.05°
Fractional coordinates of all 19 atoms:
Ag 0.045 0.694 0.518
Li 0.117 0.374 0.059
Li 0.206 0.723 0.118
Li 0.257 0.433 0.626
Li 0.483 0.159 0.723
Ag 0.955 0.306 0.482
Li 0.794 0.277 0.882
Li 0.176 0.059 0.567
Li 0.676 0.882 0.841
Li 0.824 0.941 0.433
Cd 0.000 0.000 0.000
Ag 0.436 0.482 0.213
Li 0.324 0.118 0.159
Li 0.517 0.841 0.277
Ag 0.564 0.518 0.787
Ag 0.649 0.213 0.306
Li 0.743 0.567 0.374
Li 0.883 0.626 0.941
Ag 0.351 0.787 0.694

=====

arrangement b is the most stable structure; the next one sits 42 meV per atom above it.

=====

Arrangement a

VASP calculation (PBE-GGA) on crystalline Li4Cd2Ag3 at its relaxed geometry.

Properties
Fermi-level density of states, states/eV/cell: 3.1
Calculated volume, Å³/atom: 17.56
Symmetry: C2/m

Cell: 4.283 6.006 6.936 Å, 110.29 107.98 90.00°
Fractional coordinates of all 9 atoms:
Li 0.225 0.339 0.450
Cd 0.664 0.012 0.327
Ag 0.889 0.347 0.777
Li 0.547 0.330 0.095
Ag 0.111 0.653 0.223
Li 0.453 0.670 0.905
Cd 0.336 0.988 0.673
Ag 0.000 0.000 0.000
Li 0.775 0.661 0.550

=====

Arrangement b

VASP calculation (PBE-GGA) on crystalline Li4Cd2Ag3 at its relaxed geometry.

Properties
Fermi-level density of states, states/eV/cell: 1.6
Calculated volume, Å³/atom: 17.44
Symmetry: P-1

Cell: 4.219 4.971 8.575 Å, 75.85 89.75 64.96°
Fractional coordinates of all 9 atoms:
Ag 0.000 0.000 0.000
Li 0.989 0.023 0.658
Ag 0.661 0.675 0.559
Cd 0.326 0.346 0.779
Li 0.662 0.676 0.888
Ag 0.339 0.325 0.441
Cd 0.674 0.654 0.221
Li 0.011 0.977 0.342
Li 0.338 0.324 0.112

=====

arrangement b is the most stable structure; the next one sits 25 meV per atom above it.

=====

Arrangement a

VASP calculation (PBE-GGA) on crystalline Li3CdAg4 at its relaxed geometry.

Properties
Fermi-level density of states, states/eV/cell: 2.1
Calculated volume, Å³/atom: 17.51
Symmetry: Imm2

Cell: 6.097 6.097 6.097 Å, 78.31 127.86 126.08°
Fractional coordinates of all 8 atoms:
Ag 0.081 0.751 0.330
Li 0.579 0.757 0.336
Li 0.579 0.243 0.822
Ag 0.078 0.244 0.321
Cd 0.335 0.500 0.835
Ag 0.078 0.756 0.834
Ag 0.579 0.249 0.330
Li 0.843 0.000 0.843

=====

Arrangement b

VASP calculation (PBE-GGA) on crystalline Li3CdAg4 at its relaxed geometry.

Properties
Fermi-level density of states, states/eV/cell: 3.6
Calculated volume, Å³/atom: 17.18
Symmetry: Pmma

Cell: 4.832 6.055 9.396 Å, 90.00 90.00 90.00°
Fractional coordinates of all 16 atoms:
Ag 0.500 0.760 0.500
Ag 0.880 0.240 0.250
Ag 0.500 0.240 0.500
Ag 0.120 0.760 0.750
Ag 0.880 0.760 0.250
Ag 0.120 0.240 0.750
Li 0.386 0.000 0.250
Li 0.000 0.000 0.500
Li 0.389 0.500 0.250
Ag 0.500 0.240 0.000
Cd 0.000 0.500 0.500
Li 0.614 0.000 0.750
Cd 0.000 0.500 0.000
Ag 0.500 0.760 0.000
Li 0.000 0.000 0.000
Li 0.611 0.500 0.750

=====

arrangement b is the most stable structure; the next one sits 78 meV per atom above it.

=====

Arrangement a

VASP calculation (PBE-GGA) on crystalline Li2CdAg6 at its relaxed geometry.

Properties
Fermi-level density of states, states/eV/cell: 2.9
Calculated volume, Å³/atom: 19.55
Symmetry: C2/m

Cell: 4.919 6.129 6.129 Å, 77.05 99.57 99.57°
Fractional coordinates of all 9 atoms:
Ag 0.713 0.228 0.595
Li 0.171 0.323 0.323
Ag 0.713 0.595 0.228
Ag 0.583 0.153 0.153
Ag 0.417 0.847 0.847
Ag 0.287 0.405 0.772
Ag 0.287 0.772 0.405
Cd 0.000 0.000 0.000
Li 0.829 0.677 0.677

=====

Arrangement b

VASP calculation (PBE-GGA) on crystalline Li2CdAg6 at its relaxed geometry.

Properties
Fermi-level density of states, states/eV/cell: 5.4
Calculated volume, Å³/atom: 17.65
Symmetry: C2/c

Cell: 4.988 8.215 8.215 Å, 72.41 83.58 83.58°
Fractional coordinates of all 18 atoms:
Li 0.093 0.211 0.463
Ag 0.656 0.103 0.354
Cd 0.750 0.875 0.125
Ag 0.299 0.748 0.014
Cd 0.250 0.125 0.875
Li 0.593 0.463 0.211
Ag 0.844 0.646 0.897
Ag 0.971 0.438 0.676
Ag 0.156 0.354 0.103
Ag 0.799 0.014 0.748
Ag 0.344 0.897 0.646
Li 0.907 0.789 0.537
Ag 0.701 0.252 0.986
Li 0.407 0.537 0.789
Ag 0.029 0.562 0.324
Ag 0.529 0.324 0.562
Ag 0.201 0.986 0.252
Ag 0.471 0.676 0.438

=====

arrangement b is the most stable structure; the next one sits 80 meV per atom above it.

=====

Arrangement a

VASP calculation (PBE-GGA) on crystalline Li5Cd4Ag2 at its relaxed geometry.

Properties
Fermi-level density of states, states/eV/cell: 4.4
Calculated volume, Å³/atom: 18.91
Symmetry: P2/m

Cell: 2.972 7.309 9.588 Å, 87.06 90.00 90.00°
Fractional coordinates of all 11 atoms:
Li 0.000 0.500 0.000
Li 0.000 0.809 0.165
Li 0.000 0.573 0.697
Li 0.000 0.427 0.303
Cd 0.500 0.289 0.566
Ag 0.000 0.066 0.357
Cd 0.500 0.830 0.901
Cd 0.500 0.170 0.099
Ag 0.000 0.934 0.643
Li 0.000 0.191 0.835
Cd 0.500 0.711 0.434

=====

Arrangement b

VASP calculation (PBE-GGA) on crystalline Li5Cd4Ag2 at its relaxed geometry.

Properties
Fermi-level density of states, states/eV/cell: 4.1
Calculated volume, Å³/atom: 22.49
Symmetry: Immm

Cell: 2.871 7.087 12.743 Å, 106.14 96.47 90.00°
Fractional coordinates of all 11 atoms:
Cd 0.309 0.309 0.618
Cd 0.000 0.309 0.000
Cd 0.000 0.691 0.000
Li 0.500 0.000 0.000
Ag 0.193 0.193 0.386
Li 0.112 0.872 0.225
Ag 0.807 0.807 0.614
Li 0.112 0.353 0.225
Li 0.888 0.647 0.775
Li 0.888 0.128 0.775
Cd 0.691 0.691 0.382

=====

arrangement a is the most stable structure; the next one sits 234 meV per atom above it.